# 1
Below is a geometry-optimized Hf2TiZn5 structure, with properties calculated at the PBE level.

```
Hf2TiZn5
1.0
-0.539 0.240 -4.322
4.142 -1.234 -0.585
-3.795 -6.139 2.333
Hf Zn Ti
2 5 1
Direct
0.748 0.748 0.495 Hf
0.252 0.252 0.505 Hf
0.886 0.386 0.772 Zn
0.386 0.886 0.772 Zn
0.614 0.114 0.228 Zn
0.500 0.500 0.000 Zn
0.114 0.614 0.228 Zn
0.000 0.000 0.000 Ti
```

Computed properties:
total magnetic moment	0.000	μB/f.u.
raw total energy	-35.45	eV/cell
space-group type	I4/mmm

---

# 2
Below is a geometry-optimized Hf2TiZn structure, with properties calculated at the PBE level.

```
Hf2TiZn
1.0
-4.280 -0.987 6.129
-0.463 -7.373 -1.511
-0.064 -4.640 3.846
Ti Hf Zn
2 4 2
Direct
0.250 0.750 0.500 Ti
0.500 0.500 0.000 Ti
0.375 0.357 0.750 Hf
0.107 0.625 0.250 Hf
0.643 0.125 0.250 Hf
0.875 0.893 0.750 Hf
0.750 0.250 0.500 Zn
0.000 0.000 0.000 Zn
```

Computed properties:
total magnetic moment	0.000	μB/f.u.
raw total energy	-55.13	eV/cell
space-group type	I-42d

---

# 3
Below is a geometry-optimized HfTiZn2 structure, with properties calculated at the PBE level.

```
HfTiZn2
1.0
-2.657 -1.768 -2.078
2.902 -0.959 -2.894
0.820 -3.603 2.016
Zn Ti Hf
2 1 1
Direct
0.000 0.500 0.000 Zn
0.000 0.000 0.500 Zn
0.500 0.000 0.000 Ti
0.500 0.500 0.500 Hf
```

Computed properties:
total magnetic moment	0.525	μB/f.u.
raw total energy	-21.06	eV/cell
space-group type	P4/mmm

---

# 4
Below is a geometry-optimized HfTi2Zn structure, with properties calculated at the PBE level.

```
HfTi2Zn
1.0
3.038 0.000 0.000
0.000 4.992 0.157
0.000 1.842 9.568
Ti Zn Hf
4 2 2
Direct
0.250 0.963 0.891 Ti
0.750 0.037 0.109 Ti
0.250 0.517 0.122 Ti
0.750 0.483 0.878 Ti
0.750 0.526 0.381 Zn
0.250 0.474 0.619 Zn
0.250 0.029 0.368 Hf
0.750 0.971 0.632 Hf
```

Computed properties:
total magnetic moment	0.000	μB/f.u.
raw total energy	-53.98	eV/cell
space-group type	P2_1/m

---

# 5
Below is a geometry-optimized Hf4Ti9Zn11 structure, with properties calculated at the PBE level.

```
Hf4Ti9Zn11
1.0
-1.683 -2.296 -0.316
7.117 -3.956 -9.170
3.690 -4.204 10.914
Zn Hf Ti
11 4 9
Direct
0.000 0.809 0.191 Zn
0.000 0.376 0.624 Zn
0.000 0.407 0.034 Zn
0.000 0.966 0.593 Zn
0.000 0.593 0.966 Zn
0.000 0.190 0.190 Zn
0.000 0.624 0.376 Zn
0.000 0.810 0.810 Zn
0.000 0.034 0.407 Zn
0.000 0.191 0.809 Zn
0.000 0.000 0.000 Zn
0.500 0.594 0.756 Hf
0.500 0.756 0.594 Hf
0.500 0.244 0.406 Hf
0.500 0.406 0.244 Hf
0.500 0.500 0.500 Ti
0.500 0.834 0.390 Ti
0.500 0.003 0.200 Ti
0.500 0.390 0.834 Ti
0.500 0.997 0.800 Ti
0.500 0.166 0.610 Ti
0.500 0.610 0.166 Ti
0.500 0.200 0.003 Ti
0.500 0.800 0.997 Ti
```

Computed properties:
total magnetic moment	0.194	μB/f.u.
raw total energy	-127.52	eV/cell
space-group type	Cmmm

---

# 6
Below is a geometry-optimized Hf3TiZn structure, with properties calculated at the PBE level.

```
Hf3TiZn
1.0
4.905 0.000 0.000
0.000 4.905 0.000
0.000 0.000 4.905
Hf Ti Zn
3 1 1
Direct
0.500 0.000 0.000 Hf
0.000 0.000 0.500 Hf
0.000 0.500 0.000 Hf
0.500 0.500 0.500 Ti
0.000 0.000 0.000 Zn
```

Computed properties:
total magnetic moment	0.000	μB/f.u.
distance to the lowest polymorph of the same formula	0.000	eV per formula unit
raw total energy	-34.72	eV/cell
space-group type	Pm-3m

---

# 7
Below is a geometry-optimized HfTiZn2 structure, with properties calculated at the PBE level.

```
HfTiZn2
1.0
-1.035 6.365 3.544
-3.678 2.634 -5.804
-4.626 3.566 -0.116
Zn Hf Ti
4 2 2
Direct
0.610 0.125 0.250 Zn
0.375 0.390 0.750 Zn
0.140 0.625 0.250 Zn
0.875 0.860 0.750 Zn
0.750 0.250 0.500 Hf
0.000 0.000 0.000 Hf
0.250 0.750 0.500 Ti
0.500 0.500 0.000 Ti
```

Computed properties:
total magnetic moment	0.000	μB/f.u.
raw total energy	-38.94	eV/cell
space-group type	I-42d

---

# 8
Below is a geometry-optimized Hf8TiZn2 structure, with properties calculated at the PBE level.

```
Hf8TiZn2
1.0
4.909 -0.275 -0.412
-1.220 7.540 -0.577
-1.220 -3.437 6.736
Hf Ti Zn
8 1 2
Direct
0.500 0.215 0.785 Hf
0.702 0.393 0.393 Hf
0.125 0.319 0.093 Hf
0.500 0.785 0.215 Hf
0.875 0.681 0.907 Hf
0.298 0.607 0.607 Hf
0.125 0.093 0.319 Hf
0.875 0.907 0.681 Hf
0.500 0.000 0.000 Ti
0.000 0.695 0.305 Zn
0.000 0.305 0.695 Zn
```

Computed properties:
total magnetic moment	0.001	μB/f.u.
raw total energy	-88.87	eV/cell
space-group type	C2/m

---

# 9
Below is a geometry-optimized HfTiZn5 structure, with properties calculated at the PBE level.

```
HfTiZn5
1.0
-2.946 -0.861 3.203
3.297 -1.219 2.706
0.488 5.746 1.994
Zn Ti Hf
5 1 1
Direct
0.500 0.000 0.776 Zn
0.500 0.500 0.500 Zn
0.000 0.500 0.224 Zn
0.500 0.000 0.224 Zn
0.000 0.500 0.776 Zn
0.500 0.500 0.000 Ti
0.000 0.000 0.500 Hf
```

Computed properties:
total magnetic moment	0.000	μB/f.u.
raw total energy	-23.60	eV/cell
space-group type	P4/mmm

---

# 10
Below is a geometry-optimized Hf3TiZn structure, with properties calculated at the PBE level.

```
Hf3TiZn
1.0
4.901 0.000 0.000
0.000 4.901 0.000
0.000 0.000 4.901
Hf Ti Zn
3 1 1
Direct
0.000 0.000 0.500 Hf
0.000 0.500 0.000 Hf
0.500 0.000 0.000 Hf
0.000 0.000 0.000 Ti
0.500 0.500 0.500 Zn
```

Computed properties:
total magnetic moment	0.000	μB/f.u.
distance to the lowest polymorph of the same formula	0.649	eV per formula unit
raw total energy	-34.07	eV/cell
space-group type	Pm-3m

---

# 11
Below is a geometry-optimized HfTiZn3 structure, with properties calculated at the PBE level.

```
HfTiZn3
1.0
4.246 0.000 0.000
0.000 3.048 0.000
0.000 -1.524 12.817
Hf Zn Ti
2 6 2
Direct
0.750 0.925 0.850 Hf
0.250 0.075 0.150 Hf
0.250 0.475 0.951 Zn
0.750 0.323 0.646 Zn
0.750 0.624 0.248 Zn
0.750 0.525 0.049 Zn
0.250 0.677 0.354 Zn
0.250 0.376 0.752 Zn
0.750 0.220 0.439 Ti
0.250 0.780 0.561 Ti
```

Computed properties:
total magnetic moment	0.462	μB/f.u.
distance to the lowest polymorph of the same formula	0.000	eV per formula unit
raw total energy	-45.08	eV/cell
space-group type	Cmcm

---

# 12
Below is a geometry-optimized Hf2Ti2Zn structure, with properties calculated at the PBE level.

```
Hf2Ti2Zn
1.0
6.950 0.000 0.000
0.000 6.950 0.000
0.000 0.000 3.969
Zn Ti Hf
2 4 4
Direct
0.500 0.500 0.000 Zn
0.000 0.000 0.000 Zn
0.863 0.637 0.000 Ti
0.363 0.863 0.000 Ti
0.137 0.363 0.000 Ti
0.637 0.137 0.000 Ti
0.840 0.340 0.500 Hf
0.160 0.660 0.500 Hf
0.660 0.840 0.500 Hf
0.340 0.160 0.500 Hf
```

Computed properties:
total magnetic moment	0.000	μB/f.u.
distance to the lowest polymorph of the same formula	0.000	eV per formula unit
raw total energy	-73.30	eV/cell
space-group type	P4/mbm